VASP calculation (PBE) on a geometry-optimized InReBr structure.

Computed properties:
Its raw formation energy is 953 meV per atom. The value obtained for the total energy is -4.667 eV per atom. As for the symmetry: P-6m2 (187). The energy relative to the lowest polymorph listed for this composition comes out at 0.2237 eV/atom.

Lattice parameters (Å, degrees): 4.684 4.684 3.031 90.00 90.00 120.00
Sites, in units of the cell vectors:
1 Br 0.000 0.000 0.833
2 Re 0.333 0.667 0.833
3 In 0.667 0.333 0.333